Compound: Lu3Ni5O12
Source: Alexandria
Functional: PBE with a Hubbard U
Structure: optimized geometry

VASP energy in eV/cell: -969.6

a b c (Å): 12.168 12.168 12.168
angles (deg): 90.00 90.00 90.00
Space group Ia-3d (No. 230)
Asymmetric unit:
Lu  0.000  0.250  0.125 [24 per cell]
Ni  0.000  0.000  0.000 [16 per cell]
Ni  0.000  0.250  0.375 [24 per cell]
O  0.025  0.059  0.652 [96 per cell]